Here is crystalline ScIn2Ir at its relaxed geometry from the Alexandria database. Energies are from PBE.

Unit cell a=3.1755 b=3.1755 c=7.8615 alpha=90.00 beta=90.00 gamma=90.00
Space group P4/mmm (No. 123)
One atom of each set of equivalent atoms:
Sc 0.0000 0.0000 0.0000 x1
In 0.5000 0.5000 0.2810 x2
Ir 0.0000 0.0000 0.5000 x1

Energy of formation (eV per atom): -0.2200
Size of the total moment (μB per cell): 0.67